Nb6Re5Ru PBE optimized geometry; Fermi-level density of states = 5.477 states/eV/f.u.; energy of formation = -266 meV/atom
1.0
-2.267 3.204 6.778
2.267 -3.204 6.778
2.267 3.204 -6.778
Nb Re Ru
6 5 1
direct
0.082 0.333 0.749
0.248 0.000 0.248
0.417 0.667 0.749
0.583 0.333 0.251
0.752 0.000 0.752
0.918 0.667 0.251
0.000 0.500 0.500
0.167 0.167 0.000
0.334 0.834 0.500
0.666 0.166 0.500
0.833 0.833 0.000
0.500 0.500 0.000


Nb2ReRu PBE optimized geometry; Fermi-level density of states = 2.889 states/eV/f.u.; energy of formation = -249 meV/atom
1.0
3.195 0.000 0.000
0.000 3.195 0.000
0.000 0.000 6.376
Nb Re Ru
2 1 1
direct
0.000 0.000 0.247
0.000 0.000 0.753
0.500 0.500 0.000
0.500 0.500 0.500


Nb3ReRu2 PBE optimized geometry; Fermi-level density of states = 5.573 states/eV/f.u.; energy of formation = -218 meV/atom
1.0
2.252 -6.860 0.000
2.252 6.860 0.000
0.000 0.000 6.305
Nb Re Ru
6 2 4
direct
0.000 0.000 0.246
0.000 0.000 0.754
0.329 0.671 0.252
0.329 0.671 0.748
0.671 0.329 0.252
0.671 0.329 0.748
0.165 0.835 0.000
0.835 0.165 0.000
0.154 0.846 0.500
0.500 0.500 0.000
0.500 0.500 0.500
0.846 0.154 0.500


NbReSiRu PBE optimized geometry; E_form (uncorrected) = -0.346 eV/atom; Fermi-level density of states = 0.083 states/eV/f.u.
1.0
6.178 0.000 0.000
0.000 6.178 0.000
0.000 0.000 6.178
Nb Re Si Ru
4 4 4 4
direct
0.000 0.000 0.000
0.000 0.500 0.500
0.500 0.000 0.500
0.500 0.500 0.000
0.250 0.250 0.750
0.250 0.750 0.250
0.750 0.250 0.250
0.750 0.750 0.750
0.000 0.000 0.500
0.000 0.500 0.000
0.500 0.000 0.000
0.500 0.500 0.500
0.250 0.250 0.250
0.250 0.750 0.750
0.750 0.250 0.750
0.750 0.750 0.250


NbReTcRu PBE optimized geometry; Fermi-level density of states = 6.488 states/eV/f.u.; energy of formation = 126 meV/atom
1.0
6.288 0.000 0.000
0.000 6.288 0.000
0.000 0.000 6.288
Nb Re Tc Ru
4 4 4 4
direct
0.000 0.000 0.000
0.000 0.500 0.500
0.500 0.000 0.500
0.500 0.500 0.000
0.250 0.250 0.250
0.250 0.750 0.750
0.750 0.250 0.750
0.750 0.750 0.250
0.000 0.000 0.500
0.000 0.500 0.000
0.500 0.000 0.000
0.500 0.500 0.500
0.250 0.250 0.750
0.250 0.750 0.250
0.750 0.250 0.250
0.750 0.750 0.750


TiNbReRu PBE optimized geometry; Fermi-level density of states = 1.555 states/eV/f.u.; excess energy over the best structure of this formula in the dataset = 0.00 eV/f.u.; energy of formation = -471 meV/atom
1.0
3.150 0.000 0.000
0.000 3.150 0.000
0.000 0.000 6.290
Ti Nb Re Ru
1 1 1 1
direct
0.000 0.000 0.000
0.000 0.000 0.504
0.500 0.500 0.756
0.500 0.500 0.245


TiNbReRu PBE optimized geometry; Fermi-level density of states = 2.125 states/eV/f.u.; excess energy over the best structure of this formula in the dataset = 0.05 eV/f.u.; energy of formation = -459 meV/atom
1.0
6.298 0.000 0.000
0.000 6.298 0.000
0.000 0.000 6.298
Ti Nb Re Ru
4 4 4 4
direct
0.000 0.000 0.000
0.000 0.500 0.500
0.500 0.000 0.500
0.500 0.500 0.000
0.000 0.000 0.500
0.000 0.500 0.000
0.500 0.000 0.000
0.500 0.500 0.500
0.250 0.250 0.750
0.250 0.750 0.250
0.750 0.250 0.250
0.750 0.750 0.750
0.250 0.250 0.250
0.250 0.750 0.750
0.750 0.250 0.750
0.750 0.750 0.250


NbVReRu PBE optimized geometry; Fermi-level density of states = 4.200 states/eV/f.u.; energy of formation = -215 meV/atom
1.0
6.239 0.000 0.000
0.000 6.239 0.000
0.000 0.000 6.239
Nb V Re Ru
4 4 4 4
direct
0.000 0.000 0.000
0.000 0.500 0.500
0.500 0.000 0.500
0.500 0.500 0.000
0.000 0.000 0.500
0.000 0.500 0.000
0.500 0.000 0.000
0.500 0.500 0.500
0.250 0.250 0.250
0.250 0.750 0.750
0.750 0.250 0.750
0.750 0.750 0.250
0.250 0.250 0.750
0.250 0.750 0.250
0.750 0.250 0.250
0.750 0.750 0.750


ZrNbReRu PBE optimized geometry; Fermi-level density of states = 2.100 states/eV/f.u.; excess energy over the best structure of this formula in the dataset = 0.07 eV/f.u.; energy of formation = -366 meV/atom
1.0
6.476 0.000 0.000
0.000 6.476 0.000
0.000 0.000 6.476
Zr Nb Re Ru
4 4 4 4
direct
0.000 0.000 0.000
0.000 0.500 0.500
0.500 0.000 0.500
0.500 0.500 0.000
0.000 0.000 0.500
0.000 0.500 0.000
0.500 0.000 0.000
0.500 0.500 0.500
0.250 0.250 0.250
0.250 0.750 0.750
0.750 0.250 0.750
0.750 0.750 0.250
0.250 0.250 0.750
0.250 0.750 0.250
0.750 0.250 0.250
0.750 0.750 0.750


ZrNbReRu PBE optimized geometry; Fermi-level density of states = 1.693 states/eV/f.u.; excess energy over the best structure of this formula in the dataset = 0.00 eV/f.u.; energy of formation = -384 meV/atom
1.0
3.235 0.000 0.000
0.000 3.235 0.000
0.000 0.000 6.503
Zr Nb Re Ru
1 1 1 1
direct
0.000 0.000 0.000
0.000 0.000 0.503
0.500 0.500 0.737
0.500 0.500 0.256


NbRe3S PBE optimized geometry; E_form (uncorrected) = 0.729 eV/atom; Fermi-level density of states = 4.382 states/eV/f.u.; excess energy over the best structure of this formula in the dataset = 0.00 eV/f.u.
1.0
4.352 0.000 0.000
0.000 4.352 0.000
0.000 0.000 4.352
Nb Re S
1 3 1
direct
0.000 0.000 0.000
0.000 0.500 0.500
0.500 0.000 0.500
0.500 0.500 0.000
0.500 0.500 0.500


NbRe2S PBE optimized geometry; E_form (uncorrected) = 0.395 eV/atom; Fermi-level density of states = 4.843 states/eV/f.u.
1.0
7.163 0.000 0.000
0.000 7.163 0.000
0.000 0.000 5.081
Nb Re S
4 8 4
direct
0.000 0.000 0.000
0.000 0.500 0.250
0.500 0.000 0.750
0.500 0.500 0.500
0.169 0.250 0.625
0.250 0.669 0.875
0.250 0.831 0.375
0.331 0.250 0.125
0.669 0.750 0.125
0.750 0.169 0.375
0.750 0.331 0.875
0.831 0.750 0.625
0.000 0.000 0.500
0.000 0.500 0.750
0.500 0.000 0.250
0.500 0.500 0.000